{"formula": "PrNd2YEr2", "functional": "PBE-GGA", "state": "optimized geometry", "ef_ev_per_fu": 0.4, "sg": "Pnnm, No. 58", "cell": [[-5.305, 1.976, 0.565], [-2.027, -7.273, 6.394], [2.108, 4.126, 5.362]], "species": ["Pr", "Pr", "Nd", "Nd", "Nd", "Nd", "Y", "Y", "Er", "Er", "Er", "Er"], "frac_coords": [[0.000, 0.000, 0.000], [0.500, 0.500, 0.500], [0.500, 0.833, 0.252], [0.500, 0.167, 0.748], [0.000, 0.667, 0.752], [0.000, 0.333, 0.248], [0.500, 0.500, 0.000], [0.000, 0.000, 0.500], [0.500, 0.167, 0.250], [0.000, 0.667, 0.250], [0.500, 0.833, 0.750], [0.000, 0.333, 0.750]]}

---

{"formula": "Ca3AlPb", "functional": "PBE-GGA", "state": "optimized geometry", "ef_ev_per_fu": 0.8, "sg": "Pm-3m, No. 221", "e_above_lowest_polymorph_mev_per_atom": 87, "cell": [[-3.404, 4.817, 0.776], [-2.590, -2.586, 4.690], [4.135, 2.346, 3.577]], "species": ["Pb", "Ca", "Ca", "Ca", "Al"], "frac_coords": [[0.000, 0.000, 0.000], [0.000, 0.500, 0.000], [0.000, 0.000, 0.500], [0.500, 0.000, 0.000], [0.500, 0.500, 0.500]]}

---

{"formula": "BaIn", "functional": "PBE-GGA", "state": "optimized geometry", "ef_ev_per_fu": -0.8, "sg": "Cmcm, No. 63", "cell": [[2.617, 5.489, 4.518], [-4.329, -5.049, 3.627], [4.602, -3.129, 1.137]], "species": ["Ba", "Ba", "Ba", "Ba", "In", "In", "In", "In"], "frac_coords": [[0.675, 0.325, 0.750], [0.325, 0.675, 0.250], [0.125, 0.875, 0.750], [0.875, 0.125, 0.250], [0.379, 0.219, 0.250], [0.621, 0.781, 0.750], [0.219, 0.379, 0.750], [0.781, 0.621, 0.250]]}

---

{"formula": "LiP2Ru", "functional": "PBE-GGA", "state": "optimized geometry", "ef_ev_per_fu": -1.4, "sg": "Imm2, No. 44", "e_above_lowest_polymorph_mev_per_atom": 0, "cell": [[-3.373, -5.851, 2.756], [0.375, -7.108, 1.596], [2.179, 6.955, -0.291]], "species": ["Li", "P", "P", "Ru"], "frac_coords": [[0.306, 0.806, 0.500], [0.958, 0.958, 0.000], [0.686, 0.186, 0.500], [0.550, 0.550, 0.000]]}

---

{"formula": "Ca3PI3", "functional": "PBE-GGA", "state": "optimized geometry", "sg": "P2_1/m, No. 11", "e_form_raw_kj_per_mol_atoms": -145, "e_above_lowest_polymorph_mev_per_atom": 5, "cell": [[-2.633, 3.383, -0.777], [-4.710, -5.001, -5.806], [-7.350, -3.564, 9.392]], "species": ["Ca", "Ca", "Ca", "Ca", "Ca", "Ca", "P", "P", "I", "I", "I", "I", "I", "I"], "frac_coords": [[0.250, 0.331, 0.627], [0.750, 0.669, 0.373], [0.250, 0.910, 0.608], [0.750, 0.090, 0.392], [0.250, 0.873, 0.148], [0.750, 0.127, 0.852], [0.250, 0.877, 0.376], [0.750, 0.123, 0.624], [0.250, 0.379, 0.373], [0.750, 0.621, 0.627], [0.250, 0.875, 0.875], [0.750, 0.125, 0.125], [0.250, 0.373, 0.877], [0.750, 0.627, 0.123]]}

---

{"formula": "BaSrTc2", "functional": "PBE-GGA", "state": "optimized geometry", "ef_ev_per_fu": 3.6, "sg": "P2/m, No. 10", "e_above_lowest_polymorph_mev_per_atom": 625, "cell": [[5.043, 0.000, 0.000], [0.000, 3.300, -0.017], [0.000, 3.403, 6.877]], "species": ["Ba", "Sr", "Tc", "Tc"], "frac_coords": [[0.500, 0.250, 0.250], [0.500, 0.750, 0.750], [0.000, 0.088, 0.908], [0.000, 0.412, 0.592]]}

---

{"formula": "La2Pr3Dy3", "functional": "PBE-GGA", "state": "optimized geometry", "ef_ev_per_fu": 0.9, "sg": "Cmcm, No. 63", "e_above_lowest_polymorph_mev_per_atom": 97, "cell": [[-2.497, 1.058, -2.456], [5.738, -4.855, -5.200], [-9.195, -14.286, 3.193]], "species": ["La", "La", "La", "La", "Pr", "Pr", "Pr", "Pr", "Pr", "Pr", "Dy", "Dy", "Dy", "Dy", "Dy", "Dy"], "frac_coords": [[0.783, 0.566, 0.651], [0.217, 0.434, 0.151], [0.783, 0.566, 0.849], [0.217, 0.434, 0.349], [0.645, 0.291, 0.985], [0.355, 0.709, 0.485], [0.645, 0.291, 0.515], [0.355, 0.709, 0.015], [0.391, 0.781, 0.250], [0.609, 0.219, 0.750], [0.007, 0.013, 0.101], [0.993, 0.987, 0.601], [0.007, 0.013, 0.399], [0.993, 0.987, 0.899], [0.578, 0.155, 0.250], [0.422, 0.845, 0.750]]}

---

{"formula": "Tb4SmTh", "functional": "PBE-GGA", "state": "optimized geometry", "ef_ev_per_fu": 1.0, "sg": "C2/c, No. 15", "e_above_lowest_polymorph_mev_per_atom": 136, "cell": [[6.616, -0.717, 0.000], [-2.674, 8.633, 0.000], [-1.971, -3.958, 7.299]], "species": ["Tb", "Tb", "Tb", "Tb", "Tb", "Tb", "Tb", "Tb", "Sm", "Sm", "Th", "Th"], "frac_coords": [[0.046, 0.172, 0.748], [0.751, 0.716, 0.615], [0.202, 0.576, 0.748], [0.364, 0.899, 0.615], [0.636, 0.101, 0.385], [0.798, 0.424, 0.252], [0.249, 0.284, 0.385], [0.954, 0.828, 0.252], [0.338, 0.588, 0.177], [0.662, 0.412, 0.823], [0.250, 0.000, 0.999], [0.750, 0.000, 0.001]]}

---

{"formula": "Ho5Sc3S8", "functional": "PBE-GGA", "state": "optimized geometry", "sg": "R-3m, No. 166", "e_form_raw_kj_per_mol_atoms": -185, "cell": [[6.628, 0.000, 3.797], [2.227, 6.243, 3.797], [0.030, 0.021, 7.631]], "species": ["Ho", "Ho", "Ho", "Ho", "Ho", "Sc", "Sc", "Sc", "S", "S", "S", "S", "S", "S", "S", "S"], "frac_coords": [[0.500, 0.000, 0.000], [0.500, 0.500, 0.000], [0.000, 0.000, 0.000], [0.000, 0.500, 0.000], [0.500, 0.500, 0.500], [0.500, 0.000, 0.500], [0.000, 0.000, 0.500], [0.000, 0.500, 0.500], [0.250, 0.250, 0.740], [0.250, 0.760, 0.740], [0.760, 0.250, 0.740], [0.755, 0.755, 0.736], [0.750, 0.750, 0.260], [0.750, 0.240, 0.260], [0.240, 0.750, 0.260], [0.245, 0.245, 0.264]]}

---

{"formula": "La4Pm3Pu", "functional": "PBE-GGA", "state": "optimized geometry", "ef_ev_per_fu": 1.1, "sg": "Immm, No. 71", "cell": [[3.459, 0.000, -0.837], [-1.207, 10.572, -4.988], [0.275, -2.387, 8.699]], "species": ["Pm", "Pm", "Pm", "Pu", "La", "La", "La", "La"], "frac_coords": [[0.000, 0.500, 0.000], [0.771, 0.771, 0.542], [0.229, 0.229, 0.458], [0.500, 0.000, 0.000], [0.629, 0.376, 0.258], [0.371, 0.624, 0.742], [0.371, 0.118, 0.743], [0.629, 0.882, 0.257]]}

---

{"formula": "YPaZnO6", "functional": "PBE-GGA", "state": "optimized geometry", "sg": "P312, No. 149", "e_form_raw_kj_per_mol_atoms": -232, "cell": [[4.871, 0.000, 0.000], [0.000, 5.424, 0.000], [0.000, -2.712, 4.697]], "species": ["Y", "Pa", "Zn", "O", "O", "O", "O", "O", "O"], "frac_coords": [[0.500, 0.667, 0.333], [0.000, 0.333, 0.667], [0.500, 0.000, 0.000], [0.742, 0.668, 0.691], [0.742, 0.309, 0.977], [0.742, 0.023, 0.332], [0.258, 0.309, 0.332], [0.258, 0.668, 0.977], [0.258, 0.023, 0.691]]}

---

{"formula": "ZrNpIrPd", "functional": "PBE-GGA", "state": "optimized geometry", "ef_ev_per_fu": -1.5, "sg": "F-43m, No. 216", "cell": [[-3.539, -2.699, 1.798], [0.936, -3.189, 3.464], [-1.578, 0.775, 4.467]], "species": ["Np", "Ir", "Zr", "Pd"], "frac_coords": [[0.750, 0.750, 0.750], [0.500, 0.500, 0.500], [0.250, 0.250, 0.250], [0.000, 0.000, 0.000]]}

---

{"formula": "MgCdIr2", "functional": "PBE-GGA", "state": "optimized geometry", "ef_ev_per_fu": 1.9, "sg": "I-42d, No. 122", "cell": [[7.436, 0.000, 0.000], [0.000, 7.436, 0.000], [3.718, 3.718, 2.610]], "species": ["Mg", "Mg", "Ir", "Ir", "Ir", "Ir", "Cd", "Cd"], "frac_coords": [[0.500, 0.500, 0.000], [0.250, 0.750, 0.500], [0.620, 0.125, 0.250], [0.130, 0.625, 0.250], [0.375, 0.380, 0.750], [0.875, 0.870, 0.750], [0.000, 0.000, 0.000], [0.750, 0.250, 0.500]]}

---

{"formula": "YMo2Pt", "functional": "PBE-GGA", "state": "optimized geometry", "ef_ev_per_fu": 0.6, "sg": "R3m, No. 160", "e_above_lowest_polymorph_mev_per_atom": 293, "cell": [[8.885, 0.013, 0.008], [8.308, 3.149, 0.008], [8.308, 1.528, 2.754]], "species": ["Mo", "Mo", "Pt", "Y"], "frac_coords": [[0.988, 0.988, 0.988], [0.253, 0.253, 0.253], [0.507, 0.507, 0.507], [0.751, 0.751, 0.751]]}

---

| no. | energy (eV/atom) | volume (Å³/cell) | spin magnetization (μB per cell) |
| --- | --- | --- | --- |
| 1 | -4.9224 | 399 | 0.0 |
| 2 | -2.5283 | 211 | 0.0 |
| 3 | -2.7504 | 299 | 0.0 |
| 4 | -5.8590 | 59 | 0.0 |
| 5 | -3.8012 | 488 | 0.0 |
| 6 | -5.1730 | 115 | 0.0 |
| 7 | -4.6336 | 566 | 0.0 |
| 8 | -4.9501 | 403 | 0.0 |
| 9 | -6.6013 | 315 | 0.0 |
| 10 | -5.9025 | 277 | 6.6 |
| 11 | -7.6287 | 124 | 0.6 |
| 12 | -9.2537 | 78 | 4.0 |
| 13 | -4.5923 | 144 | 0.0 |
| 14 | -8.3860 | 77 | 0.0 |